Entry 1:
Y2ScRu | Alexandria | PBE-GGA | optimized geometry; space-group type = I-42d, No. 122; uncorrected energy = -7.02 eV/atom; energy relative to the elements = 0.12 eV/atom; offset from the most stable computed form = 443.5 meV/atom; calculated volume = 26.567 Å³/atom
1.0
8.499 0.000 0.000
0.000 8.499 0.000
4.250 4.250 2.942
Y Ru Sc
4 2 2
Direct
0.704 0.125 0.250 Y
0.046 0.625 0.250 Y
0.375 0.296 0.750 Y
0.875 0.954 0.750 Y
0.000 0.000 0.000 Ru
0.750 0.250 0.500 Ru
0.500 0.500 0.000 Sc
0.250 0.750 0.500 Sc

Entry 2:
K3NdF6 | Alexandria | PBE-GGA | optimized geometry; space-group type = Fm-3m, No. 225; uncorrected energy = -5.14 eV/atom; calculated volume = 22.037 Å³/atom
1.0
6.780 0.000 0.000
3.390 5.872 0.000
3.390 1.957 5.536
K Nd F
3 1 6
Direct
0.750 0.750 0.750 K
0.250 0.250 0.250 K
0.500 0.500 0.500 K
0.000 0.000 0.000 Nd
0.764 0.236 0.236 F
0.236 0.764 0.236 F
0.764 0.236 0.764 F
0.236 0.236 0.764 F
0.236 0.764 0.764 F
0.764 0.764 0.236 F

Entry 3:
DyTlAg | Alexandria | PBE-GGA | optimized geometry; space-group type = I4mm, No. 107; uncorrected energy = -2.94 eV/atom; energy relative to the elements = 0.33 eV/atom; calculated volume = 27.906 Å³/atom
1.0
3.178 0.000 0.000
0.000 3.178 0.000
-1.589 -1.589 8.289
Tl Ag Dy
1 1 1
Direct
0.458 0.458 0.915 Tl
0.285 0.285 0.569 Ag
0.108 0.108 0.215 Dy

Entry 4:
Ba2I | Alexandria | PBE-GGA | optimized geometry; space-group type = Fmmm, No. 69; uncorrected energy = -2.58 eV/atom; calculated volume = 49.894 Å³/atom
1.0
-0.275 1.486 -4.003
-0.645 -3.976 -1.444
-7.604 2.219 3.638
I Ba
1 2
Direct
0.500 0.500 0.000 I
0.145 0.145 0.291 Ba
0.855 0.855 0.709 Ba

Entry 5:
ZrVReNi | Alexandria | PBE-GGA | optimized geometry; space-group type = F-43m, No. 216; uncorrected energy = -9.10 eV/atom; energy relative to the elements = -0.12 eV/atom; calculated volume = 15.360 Å³/atom
1.0
-3.444 -2.189 1.722
-2.924 -1.982 -2.672
-0.151 -4.421 -0.225
Re V Zr Ni
1 1 1 1
Direct
0.750 0.750 0.750 Re
0.000 0.000 0.000 V
0.500 0.500 0.500 Zr
0.250 0.250 0.250 Ni

Entry 6:
Li6Ag7 | Alexandria | PBE-GGA | optimized geometry; space-group type = R-3m, No. 166; uncorrected energy = -2.54 eV/atom; energy relative to the elements = -0.12 eV/atom; calculated volume = 19.049 Å³/atom
1.0
9.923 0.050 0.031
8.363 5.341 0.031
8.363 2.466 4.738
Ag Li
7 6
Direct
0.918 0.415 0.415 Ag
0.415 0.415 0.918 Ag
0.415 0.918 0.415 Ag
0.082 0.585 0.585 Ag
0.585 0.082 0.585 Ag
0.585 0.585 0.082 Ag
0.500 0.500 0.500 Ag
0.948 0.948 0.948 Li
0.052 0.052 0.052 Li
0.843 0.843 0.843 Li
0.157 0.157 0.157 Li
0.667 0.667 0.667 Li
0.333 0.333 0.333 Li

Entry 7:
DyErW4 | Alexandria | PBE-GGA | optimized geometry; space-group type = F-43m, No. 216; uncorrected energy = -10.03 eV/atom; energy relative to the elements = 0.13 eV/atom; calculated volume = 19.971 Å³/atom
1.0
-0.519 -4.728 -2.828
0.008 -4.842 2.679
-4.662 -2.957 0.385
Dy W Er
1 4 1
Direct
0.250 0.250 0.250 Dy
0.625 0.625 0.125 W
0.625 0.125 0.625 W
0.625 0.625 0.625 W
0.125 0.625 0.625 W
0.000 0.000 0.000 Er

Entry 8:
CeHgPt | Alexandria | PBE-GGA | optimized geometry; space-group type = P4/nmm, No. 129; uncorrected energy = -4.62 eV/atom; energy relative to the elements = -0.53 eV/atom; calculated volume = 25.021 Å³/atom
1.0
-3.748 -4.092 0.154
3.655 -3.403 -1.451
1.163 -0.878 4.992
Ce Hg Pt
2 2 2
Direct
0.815 0.000 0.500 Ce
0.185 0.500 0.000 Ce
0.500 0.000 0.000 Hg
0.500 0.500 0.500 Hg
0.275 0.000 0.500 Pt
0.725 0.500 0.000 Pt

Entry 9:
NbCuSe2 | Alexandria | PBE-GGA | optimized geometry; space-group type = P6_3mc, No. 186; uncorrected energy = -5.87 eV/atom; calculated volume = 19.254 Å³/atom
1.0
3.573 0.000 0.000
-1.786 3.094 0.000
0.000 0.000 13.932
Nb Cu Se
2 2 4
Direct
0.333 0.667 0.247 Nb
0.667 0.333 0.747 Nb
0.333 0.667 0.462 Cu
0.667 0.333 0.962 Cu
0.333 0.667 0.868 Se
0.667 0.333 0.130 Se
0.667 0.333 0.368 Se
0.333 0.667 0.630 Se

Entry 10:
Tb4AlGa3 | Alexandria | PBE-GGA | optimized geometry; space-group type = Pmm2, No. 25; uncorrected energy = -4.49 eV/atom; energy relative to the elements = -0.57 eV/atom; calculated volume = 24.690 Å³/atom
1.0
-2.795 2.398 -2.410
-2.239 0.729 3.321
5.980 9.031 2.050
Tb Al Ga
4 1 3
Direct
0.500 0.500 0.363 Tb
0.000 0.500 0.859 Tb
0.000 0.000 0.142 Tb
0.500 0.000 0.639 Tb
0.500 0.500 0.072 Al
0.000 0.500 0.577 Ga
0.000 0.000 0.426 Ga
0.500 0.000 0.922 Ga

Entry 11:
MnBe2Cl | Alexandria | PBE-GGA | optimized geometry; space-group type = Pm, No. 6; uncorrected energy = -4.43 eV/atom; offset from the most stable computed form = 112.1 meV/atom; calculated volume = 14.966 Å³/atom
1.0
3.261 0.000 0.000
0.000 2.900 -0.012
0.000 -1.417 6.335
Be Mn Cl
2 1 1
Direct
0.000 0.177 0.976 Be
0.500 0.293 0.213 Be
0.500 0.636 0.894 Mn
0.000 0.394 0.417 Cl

Entry 12:
K2ScGaS4 | Alexandria | PBE-GGA | optimized geometry; space-group type = Imma, No. 74; uncorrected energy = -4.69 eV/atom; calculated volume = 22.505 Å³/atom
1.0
-7.450 -2.909 -0.317
0.878 -2.735 7.471
1.352 7.724 -1.618
K Sc Ga S
4 2 2 8
Direct
0.500 0.000 0.000 K
0.500 0.000 0.500 K
0.000 0.000 0.500 K
0.500 0.500 0.000 K
0.000 0.500 0.000 Sc
0.000 0.500 0.500 Sc
0.500 0.500 0.500 Ga
0.000 0.000 0.000 Ga
0.198 0.734 0.966 S
0.766 0.302 0.534 S
0.234 0.698 0.466 S
0.802 0.266 0.034 S
0.767 0.734 0.957 S
0.766 0.733 0.543 S
0.234 0.267 0.457 S
0.233 0.266 0.043 S

Entry 13:
AlCd2Se | Alexandria | PBE-GGA | optimized geometry; space-group type = F-43m, No. 216; uncorrected energy = -2.10 eV/atom; offset from the most stable computed form = 368.2 meV/atom; calculated volume = 23.096 Å³/atom
1.0
5.074 0.000 0.000
2.537 4.394 0.000
2.537 1.465 4.143
Al Se Cd
1 1 2
Direct
0.500 0.500 0.500 Al
0.750 0.750 0.750 Se
0.000 0.000 0.000 Cd
0.250 0.250 0.250 Cd

Entry 14:
NpCoTcSn | Alexandria | PBE-GGA | optimized geometry; space-group type = F-43m, No. 216; uncorrected energy = -8.57 eV/atom; energy relative to the elements = 0.03 eV/atom; calculated volume = 17.516 Å³/atom
1.0
4.627 0.000 0.000
2.314 4.007 0.000
2.314 1.336 3.778
Np Co Sn Tc
1 1 1 1
Direct
0.500 0.500 0.500 Np
0.250 0.250 0.250 Co
0.000 0.000 0.000 Sn
0.750 0.750 0.750 Tc

Entry 15:
Be2HgI6 | Alexandria | PBE-GGA | optimized geometry; space-group type = C2/c, No. 15; uncorrected energy = -2.34 eV/atom; calculated volume = 40.588 Å³/atom
1.0
6.472 0.001 -2.234
-3.686 10.276 -0.200
0.154 0.108 10.917
Be Hg I
4 2 12
Direct
0.143 0.324 0.177 Be
0.357 0.823 0.676 Be
0.857 0.676 0.823 Be
0.643 0.177 0.324 Be
0.250 0.750 0.250 Hg
0.750 0.250 0.750 Hg
0.287 0.179 0.322 I
0.213 0.678 0.821 I
0.713 0.821 0.678 I
0.787 0.322 0.179 I
0.914 0.251 0.539 I
0.586 0.461 0.749 I
0.086 0.749 0.461 I
0.414 0.539 0.251 I
0.123 0.247 0.962 I
0.377 0.038 0.753 I
0.877 0.753 0.038 I
0.623 0.962 0.247 I

Entry 16:
Ho2Zn3Ag2 | Alexandria | PBE-GGA | optimized geometry; space-group type = C2/m, No. 12; uncorrected energy = -2.96 eV/atom; energy relative to the elements = -0.30 eV/atom; calculated volume = 19.986 Å³/atom
1.0
-3.451 2.981 0.252
0.443 -2.580 -4.792
-3.080 -3.936 4.388
Ho Zn Ag
2 3 2
Direct
0.849 0.699 0.239 Ho
0.151 0.301 0.761 Ho
0.500 0.000 0.000 Zn
0.598 0.196 0.421 Zn
0.402 0.804 0.579 Zn
0.855 0.710 0.777 Ag
0.145 0.290 0.223 Ag

Entry 17:
Cs2KO | Alexandria | PBE-GGA | optimized geometry; space-group type = Fm-3m, No. 225; uncorrected energy = -1.94 eV/atom; offset from the most stable computed form = 728.9 meV/atom; calculated volume = 37.247 Å³/atom
1.0
4.739 1.444 3.296
0.165 -1.450 5.769
3.712 -4.247 1.895
Cs K O
2 1 1
Direct
0.250 0.250 0.250 Cs
0.750 0.750 0.750 Cs
0.500 0.500 0.500 K
0.000 0.000 0.000 O

Entry 18:
KCuCl2 | Alexandria | PBE-GGA | optimized geometry; space-group type = Pmmm, No. 47; uncorrected energy = -2.98 eV/atom; offset from the most stable computed form = 445.4 meV/atom; calculated volume = 22.263 Å³/atom
1.0
-3.894 -2.305 1.391
1.605 0.366 5.100
-1.697 3.057 0.314
K Cu Cl
1 1 2
Direct
0.000 0.500 0.500 K
0.500 0.000 0.500 Cu
0.000 0.000 0.000 Cl
0.500 0.500 0.000 Cl

Entry 19:
TbNd2Bi | Alexandria | PBE-GGA | optimized geometry; space-group type = P4/mmm, No. 123; uncorrected energy = -4.92 eV/atom; energy relative to the elements = -0.41 eV/atom; offset from the most stable computed form = 2.6 meV/atom; calculated volume = 30.592 Å³/atom
1.0
-4.955 -0.701 0.057
0.561 -4.177 -2.586
0.410 -2.554 4.215
Nd Tb Bi
2 1 1
Direct
0.000 0.000 0.500 Nd
0.000 0.500 0.000 Nd
0.500 0.500 0.500 Tb
0.500 0.000 0.000 Bi

Entry 20:
PmPrGaCu | Alexandria | PBE-GGA | optimized geometry; space-group type = Amm2, No. 38; uncorrected energy = -4.51 eV/atom; energy relative to the elements = -0.34 eV/atom; offset from the most stable computed form = 0.0 meV/atom; calculated volume = 24.792 Å³/atom
1.0
3.734 0.000 0.000
0.000 4.500 0.000
-1.867 0.000 5.903
Pm Pr Ga Cu
1 1 1 1
Direct
0.146 0.000 0.292 Pm
0.851 0.500 0.703 Pr
0.437 0.000 0.874 Ga
0.566 0.500 0.132 Cu

Entry 21:
TbDy4Rh2 | Alexandria | PBE-GGA | optimized geometry; space-group type = P2_1/m, No. 11; uncorrected energy = -5.87 eV/atom; energy relative to the elements = -0.48 eV/atom; calculated volume = 25.878 Å³/atom
1.0
6.387 0.000 0.000
0.000 7.257 -2.998
0.000 -0.050 7.838
Tb Dy Rh
2 8 4
Direct
0.250 0.842 0.973 Tb
0.750 0.158 0.027 Tb
0.503 0.411 0.762 Dy
0.250 0.248 0.336 Dy
0.750 0.752 0.664 Dy
0.997 0.411 0.762 Dy
0.750 0.017 0.383 Dy
0.003 0.589 0.238 Dy
0.497 0.589 0.238 Dy
0.250 0.983 0.617 Dy
0.250 0.254 0.990 Rh
0.750 0.746 0.010 Rh
0.750 0.373 0.410 Rh
0.250 0.627 0.590 Rh

Entry 22:
Co2TcIr2 | Alexandria | PBE-GGA | optimized geometry; space-group type = P4/mbm, No. 127; uncorrected energy = -8.20 eV/atom; energy relative to the elements = 0.26 eV/atom; offset from the most stable computed form = 100.0 meV/atom; calculated volume = 13.591 Å³/atom
1.0
-6.713 2.183 1.059
-1.445 -6.099 3.416
0.728 1.120 2.308
Ir Co Tc
4 4 2
Direct
0.371 0.871 0.000 Ir
0.871 0.629 0.000 Ir
0.629 0.129 0.000 Ir
0.129 0.371 0.000 Ir
0.170 0.670 0.500 Co
0.670 0.830 0.500 Co
0.830 0.330 0.500 Co
0.330 0.170 0.500 Co
0.000 0.000 0.000 Tc
0.500 0.500 0.000 Tc

Entry 23:
La3HfV | Alexandria | PBE-GGA | optimized geometry; space-group type = Pm-3m, No. 221; uncorrected energy = -5.74 eV/atom; energy relative to the elements = 1.03 eV/atom; offset from the most stable computed form = 274.8 meV/atom; calculated volume = 37.602 Å³/atom
1.0
5.729 0.000 0.000
0.000 5.729 0.000
0.000 0.000 5.729
La Hf V
3 1 1
Direct
0.000 0.500 0.000 La
0.000 0.000 0.500 La
0.500 0.000 0.000 La
0.000 0.000 0.000 Hf
0.500 0.500 0.500 V

Entry 24:
Y3CuPt2 | Alexandria | PBE-GGA | optimized geometry; space-group type = Pnma, No. 62; uncorrected energy = -6.84 eV/atom; energy relative to the elements = -0.92 eV/atom; calculated volume = 22.789 Å³/atom
1.0
-3.304 1.513 -1.784
-6.226 -2.289 9.592
2.559 10.503 4.167
Y Cu Pt
12 4 8
Direct
0.250 0.373 0.047 Y
0.750 0.627 0.953 Y
0.750 0.873 0.453 Y
0.250 0.127 0.547 Y
0.250 0.685 0.214 Y
0.750 0.315 0.786 Y
0.750 0.185 0.286 Y
0.250 0.815 0.714 Y
0.250 0.433 0.372 Y
0.750 0.567 0.628 Y
0.750 0.933 0.128 Y
0.250 0.067 0.872 Y
0.250 0.122 0.122 Cu
0.750 0.878 0.878 Cu
0.750 0.622 0.378 Cu
0.250 0.378 0.622 Cu
0.250 0.692 0.497 Pt
0.750 0.308 0.503 Pt
0.750 0.192 0.003 Pt
0.250 0.808 0.997 Pt
0.250 0.003 0.316 Pt
0.750 0.997 0.684 Pt
0.750 0.503 0.184 Pt
0.250 0.497 0.816 Pt

Entry 25:
SiB3C | Alexandria | PBE-GGA | optimized geometry; space-group type = Pmm2, No. 25; uncorrected energy = -6.73 eV/atom; offset from the most stable computed form = 0.0 meV/atom; calculated volume = 8.771 Å³/atom
1.0
2.954 0.000 0.000
0.000 3.482 0.000
0.000 0.000 4.263
Si B C
1 3 1
Direct
0.500 0.500 0.864 Si
0.500 0.000 0.148 B
0.000 0.763 0.299 B
0.000 0.237 0.299 B
0.000 0.500 0.595 C